The following is a PBE calculation of a relaxed LaTb5Nd2Tm crystal, from Alexandria.

Summary:
VASP energy ... -158.8 eV per cell
N(E_F) ... 43.5 states/eV/cell
Calculated formation energy ... 265 meV/atom
V ... 1207.1 Å³ per cell

a = 8.7846 Å, b = 8.7846 Å, c = 15.6418 Å
α = 90.00°, β = 90.00°, γ = 90.00°
Space group I4/mcm (No. 140)
Inequivalent atoms, fractional coordinates:
La 0.0000 0.0000 0.2500 [4 per cell]
Tb 0.0000 0.0000 0.0000 [4 per cell]
Tb 0.2093 0.2907 0.1372 [16 per cell]
Nd 0.1174 0.3826 0.5000 [8 per cell]
Tm 0.0000 0.5000 0.2500 [4 per cell]